Density functional theory data (PBE) for a geometry-optimized Er3Bi5Se12 structure.

Summary:
The calculated volume is 31.17 Å³/atom. The spin magnetization is 0.00 μB/cell. For the raw formation energy, the calculation gives -0.7235 eV/atom. The electronic total energy is -357.5 eV for the cell shown.

```
80
Lattice="-5.506 -6.882 -11.885 -6.445 -5.324 12.209 -2.645 14.521 -1.042" Properties=species:S:1:pos:R:3 pbc="T T T"
Se -5.783 -3.879 5.370
Se -7.653 -0.955 -7.330
Se -12.441 0.502 -1.520
Er -9.982 -8.199 -1.373
Er -6.045 -0.187 -4.767
Se -6.549 4.778 3.455
Er -11.422 -0.744 1.117
Bi -1.323 7.260 -0.521
Er -3.174 3.059 -1.836
Se -9.383 -7.137 -4.247
Se -3.949 12.068 -1.970
Se -9.860 -2.540 3.087
Bi -3.223 -2.662 6.104
Bi -10.830 1.542 -3.551
Bi -4.545 4.599 5.583
Er -8.312 5.372 8.415
Se -8.222 -5.678 -1.668
Se -8.064 1.514 -3.163
Bi -5.447 5.359 0.956
Se -8.214 -4.422 -7.094
Bi -2.753 -3.441 -5.943
Er -7.719 7.658 3.747
Er -8.552 2.502 4.048
Se -6.157 3.722 -1.193
Se -2.707 4.941 0.611
Bi -8.082 1.723 -7.999
Se -4.512 -1.431 -7.143
Se -7.872 5.698 -10.753
Se -8.813 6.194 -6.089
Se -7.331 -0.267 9.809
Se -7.266 2.582 -10.528
Se -5.071 -4.903 -6.974
Bi -7.298 1.158 -0.359
Se -6.944 3.270 6.611
Bi -4.076 3.819 -6.464
Se -4.889 -3.447 0.745
Se -2.155 1.813 0.801
Se -11.042 0.682 3.868
Se -3.554 1.633 -4.587
Se -10.927 4.295 -4.011
Se -10.084 3.747 6.425
Bi -10.590 4.412 0.816
Se -8.048 -2.463 -4.174
Bi -7.347 -4.564 7.581
Se -3.400 8.944 -1.713
Se -6.375 7.993 0.950
Bi -9.742 -5.329 2.994
Bi -4.007 -2.097 -1.535
Se -6.532 0.801 2.444
Se -4.736 4.855 -3.806
Se -10.647 -9.753 1.251
Se -3.670 -1.980 3.292
Er -7.842 4.593 -3.632
Se -11.196 -6.629 0.995
Se -11.890 -2.626 -1.329
Se -9.677 1.803 1.221
Er -6.877 -5.343 -4.466
Se -6.955 -5.392 2.828
Er -6.754 -2.278 2.913
Bi 0.000 0.000 0.000
Se -9.525 7.218 6.255
Bi -9.150 -3.043 -1.674
Se -5.214 9.452 3.528
Bi -3.767 0.774 2.832
Se -7.905 -0.379 5.061
Se -6.724 -3.382 10.034
Se -6.382 6.737 6.376
Se -4.915 -2.999 -4.017
Se -7.642 7.707 -3.547
Bi -4.854 7.644 -3.713
Bi -5.976 -6.103 0.162
Er -6.285 -3.057 -9.134
Bi -6.514 0.592 7.280
Er -4.614 10.514 0.655
Se -9.707 5.762 -1.464
Se -9.682 5.314 3.299
Se -4.919 0.512 -1.940
Se -8.440 -1.407 0.475
Bi -7.250 6.879 -8.300
Se -6.691 2.694 -5.780
```